Record 1
The following is a GGA-PBE calculation of a relaxed structure of Pr4DyPb4, from the Alexandria database.

Summary:
The electronic total energy comes out at -83.069 eV/cell. The formation energy is -32.0 kJ/mol of atoms. Its volume is 34.3 A^3/atom.

Cell: 6.609 9.670 9.670 Å, 90.00 90.00 90.00°
Element x y z (fractional)
Pb 0.141 0.097 0.276
Pb 0.859 0.724 0.097
Pb 0.359 0.403 0.224
Pr 0.633 0.920 0.722
Pb 0.141 0.903 0.724
Pb 0.359 0.597 0.776
Dy 0.000 0.000 0.000
Pr 0.133 0.222 0.580
Pr 0.633 0.080 0.278
Pr 0.867 0.580 0.778
Pr 0.133 0.778 0.420
Pr 0.367 0.278 0.920
Pb 0.641 0.776 0.403
Pb 0.641 0.224 0.597
Dy 0.500 0.500 0.500
Pr 0.367 0.722 0.080
Pb 0.859 0.276 0.903
Pr 0.867 0.420 0.222

***

Record 2
The following is a GGA-PBE calculation of a relaxed structure of As2PdSeN, from the Alexandria database.

Summary:
The uncorrected formation energy comes out at 1.54 eV per atom. The electronic total energy comes out at -18.591 eV/cell. Its polymorph energy (0 for the lowest one) is 826 meV/atom. Its volume is 24.3 A^3/atom.

Cell: 4.846 4.846 5.171 Å, 90.00 90.00 90.00°
Site moments in Bohr magnetons follow the coordinates.
Element x y z (fractional)
As 0.000 0.500 0.000  0.02
Pd 0.000 0.000 0.000  0.04
Se 0.000 0.000 0.500  0.20
N 0.500 0.500 0.500  1.76
As 0.500 0.000 0.000  0.02

***

Record 3
The following is a GGA-PBE calculation of a relaxed structure of HfCr2Os2, from the Alexandria database.

Summary:
The electronic total energy comes out at -102.321 eV/cell. Its polymorph energy (0 for the lowest one) is 45 meV/atom. The formation energy is 9.6 kJ/mol of atoms. Its volume is 14.9 A^3/atom.

Cell: 7.316 7.316 2.789 Å, 90.00 90.00 90.00°
Element x y z (fractional)
Hf 0.000 0.000 0.000
Os 0.634 0.134 0.000
Cr 0.338 0.162 0.500
Cr 0.662 0.838 0.500
Os 0.366 0.866 0.000
Hf 0.500 0.500 0.000
Os 0.134 0.366 0.000
Cr 0.838 0.338 0.500
Os 0.866 0.634 0.000
Cr 0.162 0.662 0.500

***

Record 4
The following is a GGA-PBE calculation of a relaxed structure of SrLi4In2Ag, from the Alexandria database.

Summary:
The electronic total energy comes out at -19.419 eV/cell. The formation energy is -21.1 kJ/mol of atoms. Its volume is 22.1 A^3/atom.

Cell: 4.760 4.760 9.417 Å, 75.36 75.36 60.00°
Element x y z (fractional)
Sr 0.000 0.000 0.000
Li 0.134 0.134 0.597
Li 0.866 0.866 0.403
Ag 0.500 0.500 0.500
In 0.241 0.241 0.277
In 0.759 0.759 0.723
Li 0.406 0.406 0.783
Li 0.594 0.594 0.217

***

Record 5
The following is a GGA-PBE calculation of a relaxed structure of InSi2Br, from the Alexandria database.

Summary:
The uncorrected formation energy comes out at 0.31 eV per atom. The electronic total energy comes out at -14.035 eV/cell. Its polymorph energy (0 for the lowest one) is 290 meV/atom. Its volume is 23.3 A^3/atom.

Cell: 3.423 3.423 8.422 Å, 90.00 90.00 109.18°
Element x y z (fractional)
Si 0.500 0.500 0.200
In 0.500 0.500 0.757
Br 0.000 0.000 0.499
Si 0.000 0.000 0.044

***

Record 6
The following is a GGA-PBE calculation of a relaxed structure of TlRuW2, from the Alexandria database.

Summary:
The electronic total energy comes out at -35.145 eV/cell. Its polymorph energy (0 for the lowest one) is 113 meV/atom. The formation energy is 58.0 kJ/mol of atoms. Its volume is 17.0 A^3/atom.

Cell: 5.164 5.164 4.645 Å, 75.90 75.90 34.54°
Element x y z (fractional)
W 0.490 0.490 0.526
Ru 0.750 0.750 0.750
W 0.010 0.010 0.974
Tl 0.250 0.250 0.250

***

Record 7
The following is a GGA-PBE calculation of a relaxed structure of La3SnAs, from the Alexandria database.

Summary:
The electronic total energy comes out at -113.206 eV/cell. Its polymorph energy (0 for the lowest one) is 0 meV/atom. The formation energy is -93.9 kJ/mol of atoms. Its volume is 32.0 A^3/atom.

Cell: 4.601 8.726 15.939 Å, 90.00 90.00 90.00°
Site moments in Bohr magnetons follow the coordinates.
Element x y z (fractional)
La 0.250 0.675 0.721  0.04
La 0.750 0.520 0.890  0.06
Sn 0.250 0.099 0.179  -0.01
La 0.750 0.020 0.610  0.06
La 0.250 0.858 0.977  0.04
La 0.750 0.642 0.477  0.04
La 0.750 0.325 0.279  0.04
La 0.750 0.825 0.221  0.04
La 0.250 0.480 0.110  0.06
As 0.250 0.314 0.944  -0.01
Sn 0.250 0.599 0.321  -0.01
Sn 0.750 0.401 0.679  -0.01
La 0.250 0.358 0.523  0.04
As 0.750 0.686 0.056  -0.01
La 0.750 0.142 0.023  0.04
As 0.250 0.814 0.556  -0.01
As 0.750 0.186 0.444  -0.01
Sn 0.750 0.901 0.821  -0.01
La 0.250 0.980 0.390  0.06
La 0.250 0.175 0.779  0.04

***

Record 8
The following is a GGA-PBE calculation of a relaxed structure of SrTl3W, from the Alexandria database.

Summary:
The electronic total energy comes out at -19.870 eV/cell. Its polymorph energy (0 for the lowest one) is 0 meV/atom. The formation energy is 36.0 kJ/mol of atoms. Its volume is 31.7 A^3/atom.

Cell: 5.410 5.410 5.410 Å, 90.00 90.00 90.00°
Element x y z (fractional)
Tl 0.500 0.000 0.000
Tl 0.000 0.000 0.500
Tl 0.000 0.500 0.000
W 0.000 0.000 0.000
Sr 0.500 0.500 0.500

***

Record 9
The following is a GGA-PBE calculation of a relaxed structure of HfTaHgH2, from the Alexandria database.

Summary:
The electronic total energy comes out at -22.930 eV/cell. Its volume is 17.6 A^3/atom.

Cell: 3.798 6.114 3.798 Å, 90.00 90.00 90.00°
Element x y z (fractional)
Hf 0.000 0.500 0.000
H 0.000 0.000 0.500
H 0.500 0.000 0.000
Hg 0.000 0.000 0.000
Ta 0.500 0.500 0.500

***

Record 10
The following is a GGA-PBE calculation of a relaxed structure of Sb2PtPb, from the Alexandria database.

Summary:
The uncorrected formation energy comes out at -0.21 eV per atom. The electronic total energy comes out at -18.840 eV/cell. Its volume is 26.8 A^3/atom.

Cell: 8.044 8.044 8.044 Å, 28.83 28.83 28.83°
Element x y z (fractional)
Sb 0.478 0.478 0.478
Pt 0.750 0.750 0.750
Sb 0.022 0.022 0.022
Pb 0.250 0.250 0.250

***

Record 11
The following is a GGA-PBE calculation of a relaxed structure of HoB2F8, from the Alexandria database.

Summary:
The uncorrected formation energy comes out at -2.87 eV per atom. The electronic total energy comes out at -64.524 eV/cell. Its volume is 12.0 A^3/atom.

Cell: 5.893 5.381 5.381 Å, 56.62 70.80 70.80°
Site moments in Bohr magnetons follow the coordinates.
Element x y z (fractional)
F 0.437 0.841 0.841  0.01
F 0.563 0.159 0.159  0.01
B 0.692 0.807 0.807  0.00
F 0.759 0.653 0.095  0.01
F 0.759 0.095 0.653  0.01
F 0.241 0.905 0.347  0.01
F 0.184 0.354 0.354  0.00
Ho 0.000 0.000 0.000  0.69
F 0.816 0.646 0.646  0.00
B 0.308 0.193 0.193  0.00
F 0.241 0.347 0.905  0.01

***

Record 12
The following is a GGA-PBE calculation of a relaxed structure of Zr2CoSi, from the Alexandria database.

Summary:
The uncorrected formation energy comes out at -0.65 eV per atom. The electronic total energy comes out at -32.209 eV/cell. Its volume is 17.4 A^3/atom.

Cell: 3.820 3.647 5.317 Å, 69.93 90.00 90.00°
Element x y z (fractional)
Co 0.000 0.701 0.474
Si 0.500 0.552 0.771
Zr 0.000 0.979 0.917
Zr 0.500 0.268 0.339